DFT (PBE+U) results for a relaxed CsCeCoO4 crystal.

a = 5.7239 Å, b = 5.8769 Å, c = 9.2044 Å
α = 90.00°, β = 120.74°, γ = 90.00°
Site moments in Bohr magnetons follow the coordinates.
Fractional coordinates of all 14 atoms:
Co 0.8377 0.2500 0.6767  2.89
Ce 0.7724 0.7500 0.4701  0.08
Cs 0.3926 0.2500 0.1041  0.01
O 0.5235 0.2500 0.4524  0.19
Ce 0.2276 0.2500 0.5299  0.08
O 0.9491 0.5154 0.3353  0.15
O 0.0509 0.4846 0.6647  0.15
O 0.3567 0.7500 0.2210  0.28
O 0.0509 0.0154 0.6647  0.15
O 0.6433 0.2500 0.7790  0.28
Cs 0.6074 0.7500 0.8959  0.01
Co 0.1623 0.7500 0.3233  2.89
O 0.9491 0.9846 0.3353  0.15
O 0.4765 0.7500 0.5476  0.19

Output
**Space-group type**: P2_1/m, No. 11
**Crystal system**: monoclinic
**E_tot**: -6.607 eV per atom